CsYIrSe3 (GGA-PBE, optimized geometry); E above lowest polymorph = 0.000 eV/atom; total magnetic moment = 0.00 μB per cell; crystal system = monoclinic; E_tot = -33.1 eV per formula unit
1.0
-8.758 -0.336 4.126
-1.621 -1.190 -3.537
5.033 -8.787 0.650
Cs Ir Se Y
2 2 6 2
Direct
0.715 0.750 0.239 Cs
0.285 0.250 0.761 Cs
0.419 0.250 0.413 Ir
0.581 0.750 0.587 Ir
0.383 0.250 0.151 Se
0.971 0.250 0.159 Se
0.303 0.750 0.462 Se
0.697 0.250 0.538 Se
0.029 0.750 0.841 Se
0.617 0.750 0.849 Se
0.173 0.750 0.143 Y
0.827 0.250 0.857 Y

NaTbFeTe3 (GGA-PBE, optimized geometry); E above lowest polymorph = 0.031 eV/atom; total magnetic moment = 7.88 μB per cell; crystal system = orthorhombic; E_tot = -28.4 eV per formula unit
1.0
2.127 -7.381 0.000
2.127 7.381 0.000
0.000 0.000 11.410
Fe Na Tb Te
2 2 2 6
Direct
0.528 0.472 0.250 Fe
0.472 0.528 0.750 Fe
0.242 0.758 0.250 Na
0.758 0.242 0.750 Na
0.000 0.000 0.000 Tb
0.000 0.000 0.500 Tb
0.640 0.360 0.072 Te
0.916 0.084 0.250 Te
0.640 0.360 0.428 Te
0.360 0.640 0.572 Te
0.084 0.916 0.750 Te
0.360 0.640 0.928 Te

Ta3CuS5 (GGA-PBE, optimized geometry); total magnetic moment = 0.01 μB per cell; crystal system = hexagonal; E_tot = -62.3 eV per formula unit
1.0
-1.263 -3.848 -3.960
4.250 -0.952 3.622
-4.563 -3.158 4.524
Cu S Ta
1 5 3
Direct
0.000 0.000 0.000 Cu
0.667 0.333 0.238 S
0.333 0.667 0.238 S
0.000 0.000 0.500 S
0.667 0.333 0.762 S
0.333 0.667 0.762 S
0.500 0.000 0.500 Ta
0.000 0.500 0.500 Ta
0.500 0.500 0.500 Ta

AgAuBr4 (GGA-PBE, optimized geometry); crystal system = monoclinic; E_tot = -13.4 eV per formula unit
1.0
6.312 0.000 0.000
0.000 4.187 0.000
-0.665 0.000 6.841
Ag Au Br
1 1 4
Direct
0.000 0.500 0.500 Ag
0.000 0.000 0.000 Au
0.762 0.500 0.158 Br
0.240 0.000 0.310 Br
0.760 0.000 0.690 Br
0.238 0.500 0.842 Br